! KBeTe2Ir, relaxed, DFT PBE; values from VASP
&SYSTEM
  ibrav = 0, nat = 5, ntyp = 4
/
ATOMIC_SPECIES
Te 127.60 Te.upf
Be 9.01 Be.upf
Ir 192.22 Ir.upf
K 39.10 K.upf
CELL_PARAMETERS angstrom
-2.997 4.905 -0.316
-3.451 -1.950 2.470
2.462 1.819 4.876
ATOMIC_POSITIONS angstrom
Te 1.231 0.909 2.438
Te -1.499 2.452 -0.158
Be -1.726 -0.975 1.235
Ir -1.993 2.387 3.515
K 0.000 0.000 0.000
! Space group = P4/mmm (123)
! Size of the total moment = 1.32 μB per formula unit
! Calculated volume = 154.77 Å³ per cell
! Density = 5.32 g/cm³
! DFT total energy = -0.0662 hartree per atom

---

! HoTm2Th3S6, relaxed, DFT PBE; values from VASP
&SYSTEM
  ibrav = 0, nat = 12, ntyp = 4
/
ATOMIC_SPECIES
S 32.06 S.upf
Tm 168.93 Tm.upf
Th 232.04 Th.upf
Ho 164.93 Ho.upf
CELL_PARAMETERS angstrom
6.667 0.013 0.005
-3.320 5.781 0.005
-1.111 -1.923 6.782
ATOMIC_POSITIONS angstrom
S 2.224 3.851 1.552
S 3.349 1.928 5.239
S -0.004 3.865 5.239
S 0.011 0.020 5.240
S 2.239 0.006 1.553
S -1.114 1.942 1.553
Tm 0.008 3.858 0.005
Tm 3.338 1.936 0.005
Th -2.220 3.863 3.396
Th 4.455 0.008 3.396
Th 1.118 1.935 3.396
Ho 0.000 0.000 0.000
! Space group = C2/m (12)
! Size of the total moment = 0.00 μB per formula unit
! Calculated volume = 261.79 Å³ per cell
! Density = 8.83 g/cm³
! DFT total energy = -0.2547 hartree per atom

---

! CaSmY2, relaxed, DFT PBE; values from VASP
&SYSTEM
  ibrav = 0, nat = 4, ntyp = 3
/
ATOMIC_SPECIES
Y 88.91 Y.upf
Ca 40.08 Ca.upf
Sm 150.36 Sm.upf
CELL_PARAMETERS angstrom
5.182 0.000 0.000
0.000 5.136 0.000
0.000 0.000 5.136
ATOMIC_POSITIONS angstrom
Y 0.000 0.000 2.568
Y 0.000 2.568 0.000
Ca 2.591 0.000 0.000
Sm 2.591 2.568 2.568
! E_form = 0.12 eV/atom
! Space group = P4/mmm (123)
! Size of the total moment = 0.00 μB per formula unit
! Calculated volume = 136.70 Å³ per cell
! Relative energy among the computed polymorphs = 6.20 kJ per mole of atoms
! Density = 4.47 g/cm³
! DFT total energy = -0.1761 hartree per atom

---

! Tl2NiPbCl6, relaxed, DFT PBE; values from VASP
&SYSTEM
  ibrav = 0, nat = 10, ntyp = 4
/
ATOMIC_SPECIES
Cl 35.45 Cl.upf
Pb 207.20 Pb.upf
Ni 58.69 Ni.upf
Tl 204.38 Tl.upf
CELL_PARAMETERS angstrom
-5.047 -4.190 3.487
4.484 -0.489 5.902
-1.914 6.676 -2.678
ATOMIC_POSITIONS angstrom
Cl 0.446 5.218 2.617
Cl -0.969 1.915 0.906
Cl -4.710 3.211 1.314
Cl -1.981 5.477 -0.578
Cl -1.433 -0.060 5.749
Cl -2.283 2.953 4.507
Pb -2.184 4.318 2.011
Ni -2.448 1.943 6.690
Tl 0.967 2.270 4.116
Tl -3.787 0.423 2.913
! Space group = Cm (8)
! Size of the total moment = 2.01 μB per formula unit
! Calculated volume = 290.42 Å³ per cell
! Density = 5.07 g/cm³
! DFT total energy = -0.1253 hartree per atom

---

! MgWBr4, relaxed, DFT PBE; values from VASP
&SYSTEM
  ibrav = 0, nat = 6, ntyp = 3
/
ATOMIC_SPECIES
W 183.84 W.upf
Br 79.90 Br.upf
Mg 24.30 Mg.upf
CELL_PARAMETERS angstrom
0.000 4.404 4.404
4.404 0.000 4.404
4.404 4.404 0.000
ATOMIC_POSITIONS angstrom
W 0.000 0.000 0.000
Br 3.304 3.304 3.304
Br 5.503 5.503 3.304
Br 5.503 3.304 5.503
Br 3.304 5.503 5.503
Mg 6.606 6.606 6.606
! Space group = F-43m (216)
! Size of the total moment = 4.67 μB per formula unit
! Calculated volume = 170.80 Å³ per cell
! Density = 5.13 g/cm³
! DFT total energy = -0.0830 hartree per atom

---

! Ac6CoAgPt2, relaxed, DFT PBE; values from VASP
&SYSTEM
  ibrav = 0, nat = 10, ntyp = 4
/
ATOMIC_SPECIES
Ac 227.00 Ac.upf
Co 58.93 Co.upf
Ag 107.87 Ag.upf
Pt 195.08 Pt.upf
CELL_PARAMETERS angstrom
-5.527 -4.171 3.215
0.605 -2.169 7.298
-4.933 3.812 5.534
ATOMIC_POSITIONS angstrom
Ac -2.030 -2.189 8.917
Ac -5.954 -4.222 8.505
Ac -5.510 -0.312 10.799
Ac -4.199 -2.058 5.046
Ac -7.713 -0.373 7.400
Ac -4.161 1.577 7.478
Co -1.692 -2.024 3.535
Ag -6.626 -3.271 11.564
Pt -4.857 -1.389 7.981
Pt -4.929 -6.323 10.519
! E_form = -0.50 eV/atom
! Space group = P1 (1)
! Size of the total moment = 0.00 μB per formula unit
! Calculated volume = 357.26 Å³ per cell
! Density = 8.92 g/cm³
! DFT total energy = -0.1899 hartree per atom